This record from the Alexandria database describes an optimized crystal structure of Zr3Be. The functional is PBEsol.

a b c (Å): 4.7055 4.7055 4.7055
angles (deg): 90.00 90.00 90.00
Last column: nearest neighbours and their distance in Å.
Positions (direct):
Zr 0.0000 0.0000 0.5000  2 Be 2.35
Zr 0.0000 0.5000 0.0000  2 Be 2.35
Zr 0.5000 0.0000 0.0000  2 Be 2.35
Be 0.0000 0.0000 0.0000  6 Zr 2.35

Summary:
Total magnetic moment: 0.00 μB per atom
DFT formation energy: 1.154 eV/atom
Density of states at the Fermi level: 6.925 states/eV/cell
Energy above the lowest structure with this stoichiometry: 1154 meV/atom

This record from the Alexandria database describes an optimized crystal structure of KCu2S2. The functional is PBEsol.

a b c (Å): 3.7721 3.7721 12.8894
angles (deg): 90.00 90.00 90.00
Last column: nearest neighbours and their distance in Å.
Positions (direct):
K 0.0000 0.0000 0.0000  8 S 3.26
K 0.5000 0.5000 0.5000  8 S 3.26
Cu 0.0000 0.5000 0.2500  4 S 2.32
Cu 0.0000 0.5000 0.7500  4 S 2.32
Cu 0.5000 0.0000 0.2500  4 S 2.32
Cu 0.5000 0.0000 0.7500  4 S 2.32
S 0.0000 0.0000 0.3543  4 Cu 2.32
S 0.0000 0.0000 0.6457  4 Cu 2.32
S 0.5000 0.5000 0.1457  4 Cu 2.32
S 0.5000 0.5000 0.8543  4 Cu 2.32

Summary:
Formation energy (no corrections): -288 kJ/mol of formula units
Total magnetic moment: 0.00 μB per atom
Density of states at the Fermi level: 6.121 states/eV/cell

This record from the Alexandria database describes an optimized crystal structure of In2TcSe. The functional is PBEsol.

a b c (Å): 3.0582 4.5772 11.9659
angles (deg): 90.00 90.00 90.00
Last column: nearest neighbours and their distance in Å.
Positions (direct):
In 0.0000 0.0000 0.0000  4 Tc 2.76, 2 In 3.06
In 0.0000 0.5000 0.1848  2 Tc 2.90, 4 In 3.06-3.18, 4 Se 3.19
In 0.5000 0.0000 0.6848  2 Tc 2.90, 4 In 3.06-3.18, 4 Se 3.19
In 0.5000 0.5000 0.5000  4 Tc 2.76, 2 In 3.06
Tc 0.0000 0.0000 0.4793  2 Se 2.45
Tc 0.5000 0.5000 0.9793  2 Se 2.45
Se 0.0000 0.5000 0.8189  2 Tc 2.45
Se 0.5000 0.0000 0.3189  2 Tc 2.45

Summary:
Formation energy (no corrections): 5 kJ/mol of formula units
Total magnetic moment: 0.00 μB per atom
Density of states at the Fermi level: 5.291 states/eV/cell

This record from the Alexandria database describes an optimized crystal structure of Ca3ReCl. The functional is PBEsol.

a b c (Å): 5.0952 5.0952 5.0952
angles (deg): 90.00 90.00 90.00
Last column: nearest neighbours and their distance in Å.
Positions (direct):
Ca 0.0000 0.0000 0.5000  2 Cl 2.55
Ca 0.0000 0.5000 0.0000  2 Cl 2.55
Ca 0.5000 0.0000 0.0000  2 Cl 2.55
Re 0.5000 0.5000 0.5000  12 Ca 3.60
Cl 0.0000 0.0000 0.0000  6 Ca 2.55

Summary:
Formation energy (no corrections): 177 kJ/mol of formula units
Total magnetic moment: 0.29 μB per atom
Density of states at the Fermi level: 7.399 states/eV/cell

This record from the Alexandria database describes an optimized crystal structure of ZnInMo2. The functional is PBEsol.

a b c (Å): 6.3522 6.3522 6.3522
angles (deg): 90.00 90.00 90.00
Last column: nearest neighbours and their distance in Å.
Positions (direct):
Zn 0.0000 0.0000 0.0000  4 In 2.75, 4 Mo 2.75
Zn 0.0000 0.5000 0.5000  4 In 2.75, 4 Mo 2.75
Zn 0.5000 0.0000 0.5000  4 In 2.75, 4 Mo 2.75
Zn 0.5000 0.5000 0.0000  4 In 2.75, 4 Mo 2.75
In 0.2500 0.2500 0.2500  4 Mo 2.75, 4 Zn 2.75
In 0.2500 0.7500 0.7500  4 Mo 2.75, 4 Zn 2.75
In 0.7500 0.2500 0.7500  4 Mo 2.75, 4 Zn 2.75
In 0.7500 0.7500 0.2500  4 Mo 2.75, 4 Zn 2.75
Mo 0.0000 0.0000 0.5000  4 Mo 2.75, 4 In 2.75
Mo 0.0000 0.5000 0.0000  4 Mo 2.75, 4 In 2.75
Mo 0.2500 0.2500 0.7500  4 Mo 2.75, 4 Zn 2.75
Mo 0.2500 0.7500 0.2500  4 Mo 2.75, 4 Zn 2.75
Mo 0.5000 0.0000 0.0000  4 Mo 2.75, 4 In 2.75
Mo 0.5000 0.5000 0.5000  4 Mo 2.75, 4 In 2.75
Mo 0.7500 0.2500 0.2500  4 Mo 2.75, 4 Zn 2.75
Mo 0.7500 0.7500 0.7500  4 Zn 2.75, 4 Mo 2.75

Summary:
Total magnetic moment: 0.00 μB per atom
DFT formation energy: 0.332 eV/atom
Density of states at the Fermi level: 10.189 states/eV/cell
Energy above the lowest structure with this stoichiometry: 116 meV/atom

This record from the Alexandria database describes an optimized crystal structure of PRu3S. The functional is PBEsol.

a b c (Å): 4.3006 4.3006 4.3006
angles (deg): 90.00 90.00 90.00
Last column: nearest neighbours and their distance in Å.
Positions (direct):
P 0.0000 0.0000 0.0000  6 Ru 2.15
Ru 0.0000 0.0000 0.5000  2 P 2.15
Ru 0.0000 0.5000 0.0000  2 P 2.15
Ru 0.5000 0.0000 0.0000  2 P 2.15
S 0.5000 0.5000 0.5000  12 Ru 3.04

Summary:
Formation energy (no corrections): 412 kJ/mol of formula units
Total magnetic moment: 0.00 μB per atom
Density of states at the Fermi level: 5.434 states/eV/cell

This record from the Alexandria database describes an optimized crystal structure of In2HgW. The functional is PBEsol.

a b c (Å): 2.9208 5.1618 5.2954
angles (deg): 90.00 90.00 90.00
Last column: nearest neighbours and their distance in Å.
Positions (direct):
In 0.0000 0.0000 0.0000  6 In 2.92-3.02, 4 W 2.97
In 0.5000 0.0000 0.5000  6 In 2.92-3.02, 4 Hg 2.97
Hg 0.0000 0.5000 0.5000  2 Hg 2.92, 4 In 2.97, 4 W 3.02
W 0.5000 0.5000 0.0000  2 W 2.92, 4 In 2.97, 4 Hg 3.02

Summary:
Total magnetic moment: 0.00 μB per atom
DFT formation energy: 0.607 eV/atom
Density of states at the Fermi level: 2.159 states/eV/cell

This record from the Alexandria database describes an optimized crystal structure of AgCl2. The functional is PBEsol.

a b c (Å): 6.2753 6.2753 6.2753
angles (deg): 90.00 90.00 90.00
Last column: nearest neighbours and their distance in Å.
Positions (direct):
Ag 0.0000 0.0000 0.0000  6 Cl 2.56
Ag 0.0000 0.5000 0.5000  6 Cl 2.56
Ag 0.5000 0.0000 0.5000  6 Cl 2.56
Ag 0.5000 0.5000 0.0000  6 Cl 2.56
Cl 0.1557 0.6557 0.8443  3 Ag 2.56
Cl 0.1557 0.8443 0.3443  3 Ag 2.56
Cl 0.3443 0.1557 0.8443  3 Ag 2.56
Cl 0.3443 0.3443 0.3443  3 Ag 2.56
Cl 0.6557 0.6557 0.6557  3 Ag 2.56
Cl 0.6557 0.8443 0.1557  3 Ag 2.56
Cl 0.8443 0.1557 0.6557  3 Ag 2.56
Cl 0.8443 0.3443 0.1557  3 Ag 2.56

Summary:
Formation energy (no corrections): -78 kJ/mol of formula units
Total magnetic moment: 0.00 μB per atom
Density of states at the Fermi level: 13.052 states/eV/cell

This record from the Alexandria database describes an optimized crystal structure of Cr2ReW. The functional is PBEsol.

a b c (Å): 3.0063 4.2812 8.3132
angles (deg): 90.00 90.00 90.00
Last column: nearest neighbours and their distance in Å.
Positions (direct):
Cr 0.0000 0.0000 0.2484  2 W 2.55, 2 Re 2.58, 4 Cr 2.62
Cr 0.0000 0.0000 0.7516  2 W 2.55, 2 Re 2.58, 4 Cr 2.62
Cr 0.5000 0.5000 0.2516  2 W 2.55, 2 Re 2.58, 4 Cr 2.62
Cr 0.5000 0.5000 0.7484  2 W 2.55, 2 Re 2.58, 4 Cr 2.62
Re 0.0000 0.5000 0.0000  4 Cr 2.58, 4 W 2.62
Re 0.5000 0.0000 0.5000  4 Cr 2.58, 4 W 2.62
W 0.0000 0.5000 0.5000  4 Cr 2.55, 4 Re 2.62
W 0.5000 0.0000 0.0000  4 Cr 2.55, 4 Re 2.62

Summary:
Total magnetic moment: 0.00 μB per atom
DFT formation energy: 0.096 eV/atom
Density of states at the Fermi level: 7.486 states/eV/cell

This record from the Alexandria database describes an optimized crystal structure of KSrY2. The functional is PBEsol.

a b c (Å): 3.9107 6.0837 6.4866
angles (deg): 90.00 90.00 90.00
Last column: nearest neighbours and their distance in Å.
Positions (direct):
K 0.0000 0.0000 0.0000  4 Sr 3.62, 4 Y 3.79, 2 K 3.91
Sr 0.5000 0.5000 0.0000  4 K 3.62, 4 Y 3.79, 2 Sr 3.91
Y 0.0000 0.5000 0.5000  6 Y 3.62-3.91, 4 Sr 3.79
Y 0.5000 0.0000 0.5000  6 Y 3.62-3.91, 4 K 3.79

Summary:
Total magnetic moment: 0.00 μB per atom
DFT formation energy: 0.435 eV/atom
Density of states at the Fermi level: 6.280 states/eV/cell
Energy above the lowest structure with this stoichiometry: 7 meV/atom

This record from the Alexandria database describes an optimized crystal structure of Ba2BeNi. The functional is PBEsol.

a b c (Å): 4.3195 4.3195 23.8202
angles (deg): 90.00 90.00 120.00
Last column: nearest neighbours and their distance in Å.
Positions (direct):
Ba 0.0000 0.0000 0.2401  3 Ni 3.05, 3 Be 3.34
Ba 0.0000 0.0000 0.7599  3 Ni 3.05, 3 Be 3.34
Ba 0.3333 0.6667 0.4265  3 Ni 3.05, 3 Be 3.34
Ba 0.3333 0.6667 0.9068  3 Ni 3.05, 3 Be 3.34
Ba 0.6667 0.3333 0.0932  3 Ni 3.05, 3 Be 3.34
Ba 0.6667 0.3333 0.5735  3 Ni 3.05, 3 Be 3.34
Be 0.0000 0.0000 0.0000  6 Ba 3.34
Be 0.3333 0.6667 0.6667  6 Ba 3.34
Be 0.6667 0.3333 0.3333  6 Ba 3.34
Ni 0.0000 0.0000 0.5000  6 Ba 3.05
Ni 0.3333 0.6667 0.1667  6 Ba 3.05
Ni 0.6667 0.3333 0.8333  6 Ba 3.05

Summary:
Total magnetic moment: 0.00 μB per atom
DFT formation energy: 0.617 eV/atom
Density of states at the Fermi level: 8.999 states/eV/cell

This record from the Alexandria database describes an optimized crystal structure of BeAgAu2. The functional is PBEsol.

a b c (Å): 4.1075 4.1075 7.1576
angles (deg): 90.00 90.00 90.00
Last column: nearest neighbours and their distance in Å.
Positions (direct):
Be 0.0000 0.0000 0.0000  8 Au 2.72, 4 Ag 2.90
Be 0.5000 0.5000 0.5000  8 Au 2.72, 4 Ag 2.90
Ag 0.0000 0.0000 0.5000  8 Au 2.72, 4 Be 2.90
Ag 0.5000 0.5000 0.0000  8 Au 2.72, 4 Be 2.90
Au 0.0000 0.5000 0.2500  4 Be 2.72, 4 Ag 2.72, 4 Au 2.90
Au 0.0000 0.5000 0.7500  4 Be 2.72, 4 Ag 2.72, 4 Au 2.90
Au 0.5000 0.0000 0.2500  4 Be 2.72, 4 Ag 2.72, 4 Au 2.90
Au 0.5000 0.0000 0.7500  4 Be 2.72, 4 Ag 2.72, 4 Au 2.90

Summary:
Total magnetic moment: 0.00 μB per atom
DFT formation energy: 0.040 eV/atom
Density of states at the Fermi level: 2.640 states/eV/cell